Entry 1:
AcB11: relaxed, PBE.

Computed properties:
ΔH_f (0 K), eV per atom: 0.890
Total magnetic moment, μB/atom: 0.00
E, eV/cell: -133.76
Symmetry: No. 141
Calculated volume, Å³/f.u.: 119.67

Geometry as extended XYZ:
```
24
Lattice="-3.7024 3.7024 4.3650 3.7024 -3.7024 4.3650 3.7024 3.7024 -4.3650" Properties=species:S:1:pos:R:3 pbc="T T T"
Ac 3.7024 1.8512 1.0912
Ac 0.0000 1.8512 3.2737
B 0.0000 0.0000 0.0000
B 1.8512 1.8512 -2.1825
B 1.8512 -1.8512 2.1825
B 2.5034 -0.4564 1.5407
B 4.9013 -0.4564 1.5407
B 3.7024 -1.8512 3.2737
B 1.3948 0.6522 0.6418
B 6.0100 0.6522 0.6418
B 2.5034 3.2460 -1.5407
B 1.1990 -0.4564 2.8243
B 1.3948 3.0502 0.6418
B 2.3076 -0.6522 5.0068
B 0.0000 3.7024 0.0000
B 1.3948 4.3546 -0.6418
B 2.3076 0.6522 3.7232
B 2.5034 4.1588 1.5407
B 1.1990 0.4564 5.9057
B -2.3076 3.0502 3.7232
B 2.3076 3.0502 3.7232
B 0.0000 5.5536 1.0912
B -1.1990 4.1588 2.8243
B 1.1990 4.1588 2.8243
```



Entry 2:
AcB: relaxed, PBE.

Computed properties:
ΔH_f (0 K), eV per atom: -0.039
Total magnetic moment, μB/atom: 0.00
Distance to the lowest polymorph of the same formula, eV/atom: 0.038
E, eV/cell: -43.46
Symmetry: No. 63
Calculated volume, Å³/f.u.: 50.40

Geometry as extended XYZ:
```
8
Lattice="3.8909 -4.2093 0.0000 3.8909 4.2093 0.0000 0.0000 0.0000 6.1549" Properties=species:S:1:pos:R:3 pbc="T T T"
Ac 1.8409 1.1963 1.5387
Ac 1.8409 -1.1963 4.6162
Ac 5.9409 1.1963 1.5387
Ac 5.9409 -1.1963 4.6162
B 3.8909 0.4697 3.7723
B 3.8909 0.4697 5.4600
B 3.8909 -0.4697 0.6949
B 3.8909 -0.4697 2.3826
```



Entry 3:
Ac3B11: relaxed, PBE.

Computed properties:
ΔH_f (0 K), eV per atom: 0.088
Total magnetic moment, μB/atom: 0.00
E, eV/cell: -84.54
Symmetry: No. 8
Calculated volume, Å³/f.u.: 185.20

Geometry as extended XYZ:
```
14
Lattice="7.7283 -3.7535 0.0000 7.7283 3.7535 0.0000 -0.2766 0.0000 3.1921" Properties=species:S:1:pos:R:3 pbc="T T T"
Ac 0.0000 0.0000 0.0000
Ac 8.0314 0.0000 0.0391
Ac 11.6312 0.0000 1.6050
B 5.3294 1.6554 3.0019
B 3.7640 0.8660 2.7644
B 6.0200 1.7270 1.4520
B 3.1291 0.0000 1.0309
B 9.7741 2.3013 1.7204
B 3.7640 -0.8660 2.7644
B 10.2404 2.1570 0.1527
B 5.3294 -1.6554 3.0019
B 6.0200 -1.7270 1.4520
B 9.7741 -2.3013 1.7204
B 10.2404 -2.1570 0.1527
```



Entry 4:
AcB2: relaxed, PBE.

Computed properties:
ΔH_f (0 K), eV per atom: 1.273
Total magnetic moment, μB/atom: 0.00
Distance to the lowest polymorph of the same formula, eV/atom: 1.434
E, eV/cell: -13.65
Symmetry: No. 139
Calculated volume, Å³/f.u.: 49.17

Geometry as extended XYZ:
```
3
Lattice="-1.5813 1.5813 4.9160 1.5813 -1.5813 4.9160 1.5813 1.5813 -4.9160" Properties=species:S:1:pos:R:3 pbc="T T T"
Ac 0.0000 0.0000 0.0000
B 0.0000 0.0000 2.8140
B 0.0000 0.0000 7.0181
```